Material: MgZrHgPb
Method: DFT, PBE
State: relaxed

Structure (POSCAR):
```
MgZrHgPb
1.0
4.2579 0.0000 0.0000
0.0000 4.4506 0.0000
0.0000 0.0000 4.7793
Pb Zr Hg Mg
1 1 1 1
direct
0.5000 0.0000 0.5000
0.0000 0.5000 0.5000
0.5000 0.5000 0.0000
0.0000 0.0000 0.0000
```

* uncorrected energy: -14.7 eV for the cell shown
* energy of formation from the pure elements: -0.148 eV per atom



Material: Mg6Hg2Pd
Method: DFT, PBE
State: relaxed

Structure (POSCAR):
```
Mg6Hg2Pd
1.0
-2.3032 2.1992 1.5606
-4.3610 -6.0972 2.1561
5.6614 2.5994 4.6923
Mg Hg Pd
6 2 1
direct
0.5000 0.6229 0.0000
0.0000 0.0000 0.2587
0.5000 0.3771 0.3771
0.5000 0.0000 0.6229
0.0000 0.2587 0.0000
0.0000 0.7413 0.7413
0.0000 0.6667 0.3334
0.0000 0.3333 0.6666
0.5000 0.0000 0.0000
```

* energy above the most stable polymorph in this dataset: 0.0 meV/atom
* uncorrected energy: -18.4 eV for the cell shown
* energy of formation from the pure elements: -0.334 eV per atom



Material: Mg2HgPd5
Method: DFT, PBE
State: relaxed

Structure (POSCAR):
```
Mg2HgPd5
1.0
5.8959 0.0028 -0.0041
0.0029 5.8959 -0.0042
-2.9523 -2.9523 3.7585
Mg Pd Hg
2 5 1
direct
0.7221 0.2221 0.4441
0.2221 0.7221 0.4441
0.7222 0.7222 0.4445
0.2222 0.2222 0.9443
0.7221 0.7221 0.9443
0.7221 0.2222 0.9443
0.2222 0.7221 0.9443
0.2220 0.2220 0.4441
```

* energy above the most stable polymorph in this dataset: 11.2 meV/atom
* uncorrected energy: -33.4 eV for the cell shown
* energy of formation from the pure elements: -0.494 eV per atom



Material: MgHgPd5
Method: DFT, PBE
State: relaxed

Structure (POSCAR):
```
MgHgPd5
1.0
-3.0921 -2.4260 -1.5197
2.2259 -3.4441 0.9691
-2.9051 -0.1479 6.1471
Mg Pd Hg
1 5 1
direct
0.5000 0.5000 0.0000
0.5000 0.0000 0.7797
0.0000 0.5000 0.7797
0.5000 0.5000 0.5000
0.5000 0.0000 0.2203
0.0000 0.5000 0.2203
0.0000 0.0000 0.5000
```

* energy above the most stable polymorph in this dataset: 0.0 meV/atom
* uncorrected energy: -28.8 eV for the cell shown
* energy of formation from the pure elements: -0.141 eV per atom